Entry 1:
DFT (GGA-PBEsol) results for a geometry-optimized FeCo2Re structure.

```
FeCo2Re
1.0
3.560 0.001 0.000
0.001 3.560 0.000
-1.781 -1.781 3.501
Co Re Fe
2 1 1
direct
0.750 0.250 0.500 Co
0.000 0.000 0.000 Co
0.250 0.750 0.500 Re
0.500 0.500 0.000 Fe
```

Properties
Energy relative to the lowest polymorph listed for this composition = 0.017 eV/atom
Space-group type = I-4m2
E_form = 0.008 eV per atom

***

Entry 2:
DFT (GGA-PBEsol) results for a geometry-optimized FeCo2Re structure.

```
FeCo2Re
1.0
-0.672 1.168 2.210
1.176 -1.871 1.346
5.835 3.582 -0.118
Fe Co Re
1 2 1
direct
0.000 0.000 0.483 Fe
0.000 0.000 0.015 Co
0.500 0.500 0.249 Co
0.500 0.500 0.753 Re
```

Properties
Energy relative to the lowest polymorph listed for this composition = 0.101 eV/atom
Space-group type = P4mm
E_form = 0.091 eV per atom

***

Entry 3:
DFT (GGA-PBEsol) results for a geometry-optimized Fe2CoRh structure.

```
Fe2CoRh
1.0
2.831 0.000 0.000
0.000 2.831 0.000
0.000 0.000 5.891
Rh Fe Co
1 2 1
direct
0.000 0.000 0.496 Rh
0.000 0.000 0.995 Fe
0.500 0.500 0.237 Fe
0.500 0.500 0.772 Co
```

Properties
Energy relative to the lowest polymorph listed for this composition = 0.003 eV/atom
Space-group type = P4mm
E_form = 0.054 eV per atom

***

> E_form of number 3 (Fe2CoRh)?

0.054 eV per atom